(1)
The following is a PBE-GGA calculation of crystalline Sr2HgSb2 at its relaxed geometry, from the Alexandria database.

Output
- Crystal system: tetragonal
- E: -2.975 eV/atom
- Magnetic moment: 0.00 μB/cell

Structure (POSCAR):
```
Sr2HgSb2
1.0
9.6996 0.0000 0.0000
0.0000 9.6996 0.0000
0.0000 0.0000 3.7104
Sr Hg Sb
4 2 4
Direct
0.1406 0.3594 0.0000 Sr
0.3594 0.8594 0.0000 Sr
0.6406 0.1406 0.0000 Sr
0.8594 0.6406 0.0000 Sr
0.0000 0.0000 0.0000 Hg
0.5000 0.5000 0.0000 Hg
0.1600 0.6600 0.5000 Sb
0.3400 0.1600 0.5000 Sb
0.6600 0.8400 0.5000 Sb
0.8400 0.3400 0.5000 Sb
```

(2)
The following is a PBE-GGA calculation of crystalline Sr3Hg4Sb4 at its relaxed geometry, from the Alexandria database.

Output
- Crystal system: orthorhombic
- E: -2.567 eV/atom
- Magnetic moment: 0.00 μB/cell

Structure (POSCAR):
```
Sr3Hg4Sb4
1.0
-2.4312 4.1789 8.3601
2.4312 -4.1789 8.3601
2.4312 4.1789 -8.3601
Sr Hg Sb
3 4 4
Direct
0.0000 0.0000 0.0000 Sr
0.3700 0.8700 0.5000 Sr
0.6300 0.1300 0.5000 Sr
0.0380 0.3273 0.7107 Hg
0.3834 0.6727 0.7107 Hg
0.6166 0.3273 0.2893 Hg
0.9620 0.6727 0.2893 Hg
0.2093 0.2093 0.0000 Sb
0.3177 0.5000 0.8177 Sb
0.6823 0.5000 0.1823 Sb
0.7907 0.7907 0.0000 Sb
```

(3)
The following is a PBE-GGA calculation of crystalline SrHg3Sb3 at its relaxed geometry, from the Alexandria database.

Output
- Crystal system: cubic
- E: -2.124 eV/atom
- Magnetic moment: 0.00 μB/cell

Structure (POSCAR):
```
SrHg3Sb3
1.0
7.9992 0.0000 0.0000
0.0000 7.9992 0.0000
0.0000 0.0000 7.9992
Sr Hg Sb
2 6 6
Direct
0.0000 0.0000 0.0000 Sr
0.5000 0.5000 0.5000 Sr
0.0000 0.2500 0.5000 Hg
0.0000 0.7500 0.5000 Hg
0.2500 0.5000 0.0000 Hg
0.5000 0.0000 0.2500 Hg
0.5000 0.0000 0.7500 Hg
0.7500 0.5000 0.0000 Hg
0.0000 0.5000 0.2500 Sb
0.0000 0.5000 0.7500 Sb
0.2500 0.0000 0.5000 Sb
0.5000 0.2500 0.0000 Sb
0.5000 0.7500 0.0000 Sb
0.7500 0.0000 0.5000 Sb
```

(4)
The following is a PBE-GGA calculation of crystalline Sr2Hg3Sb at its relaxed geometry, from the Alexandria database.

Output
- Crystal system: orthorhombic
- E: -1.966 eV/atom
- Magnetic moment: 0.00 μB/cell

Structure (POSCAR):
```
Sr2Hg3Sb
1.0
0.0000 5.0821 8.7652
4.0332 0.0000 8.7652
4.0332 5.0821 0.0000
Sr Hg Sb
4 6 2
Direct
0.2467 0.7533 0.7533 Sr
0.2500 0.2500 0.2500 Sr
0.7500 0.7500 0.7500 Sr
0.7533 0.2467 0.2467 Sr
0.1638 0.1638 0.8362 Hg
0.1672 0.6699 0.3301 Hg
0.3301 0.8328 0.1672 Hg
0.6699 0.1672 0.8328 Hg
0.8328 0.3301 0.6699 Hg
0.8362 0.8362 0.1638 Hg
0.3330 0.3330 0.6670 Sb
0.6670 0.6670 0.3330 Sb
```